1.
Compound: Nd8CoBi2
Source: Alexandria via LeMat-Bulk
Functional: PBE-GGA
Structure: relaxed

Cell: 9.7961 9.7961 6.8488 Å, 108.25 108.25 32.91°
Positions (direct):
Nd: 0.0057 0.0057 0.2338
Nd: 0.2178 0.2178 0.1335
Nd: 0.3621 0.3621 0.6939
Nd: 0.4135 0.4135 0.2485
Nd: 0.5865 0.5865 0.7515
Nd: 0.6379 0.6379 0.3061
Nd: 0.7822 0.7822 0.8665
Nd: 0.9943 0.9943 0.7662
Co: 0.5000 0.5000 0.0000
Bi: 0.1701 0.1701 0.6220
Bi: 0.8299 0.8299 0.3780

Properties
DFT formation energy = -280 meV per atom
V = 30.683 A^3/atom
mass density = 8.024 g/cm3



2.
Compound: AcPr2Tl2
Source: Alexandria via LeMat-Bulk
Functional: PBE-GGA
Structure: relaxed

Cell: 4.9240 4.9240 8.0484 Å, 107.77 107.77 89.92°
Positions (direct):
Ac: 0.0000 0.0000 0.0000
Pr: 0.2498 0.7502 0.5000
Pr: 0.7502 0.2498 0.5000
Tl: 0.3995 0.3995 0.7999
Tl: 0.6005 0.6005 0.2001

Properties
DFT formation energy = -220 meV per atom
V = 35.209 A^3/atom
mass density = 8.655 g/cm3



3.
Compound: RbLiCoNi2
Source: Alexandria via LeMat-Bulk
Functional: PBE-GGA
Structure: relaxed

Cell: 4.3830 4.3830 4.7362 Å, 90.00 90.00 90.00°
Positions (direct):
Rb: 0.0000 0.0000 0.0000
Li: 0.0000 0.0000 0.5000
Co: 0.5000 0.5000 0.0000
Ni: 0.0000 0.5000 0.5000
Ni: 0.5000 0.0000 0.5000

Properties
DFT formation energy = 1438 meV per atom
V = 18.197 A^3/atom
mass density = 4.905 g/cm3



4.
Compound: Ca2HoHg
Source: Alexandria via LeMat-Bulk
Functional: PBE-GGA
Structure: relaxed

Cell: 11.8822 11.8822 11.8822 Å, 17.66 17.66 17.66°
Positions (direct):
Ca: 0.0985 0.0985 0.0985
Ca: 0.9015 0.9015 0.9015
Ho: 0.0000 0.0000 0.0000
Hg: 0.5000 0.5000 0.5000

Properties
DFT formation energy = 49 meV per atom
V = 33.689 A^3/atom
mass density = 5.492 g/cm3



5.
Compound: ScVB2
Source: Alexandria via LeMat-Bulk
Functional: PBE-GGA
Structure: relaxed

Cell: 3.9982 3.9982 3.9982 Å, 60.00 60.00 60.00°
Positions (direct):
Sc: 0.0000 0.0000 0.0000
V: 0.5000 0.5000 0.5000
B: 0.2500 0.2500 0.2500
B: 0.7500 0.7500 0.7500

Properties
DFT formation energy = 167 meV per atom
V = 11.299 A^3/atom
mass density = 4.318 g/cm3



6.
Compound: FePW4
Source: Alexandria via LeMat-Bulk
Functional: PBE-GGA
Structure: relaxed

Cell: 5.2414 5.2414 5.2414 Å, 60.00 60.00 60.00°
Positions (direct):
Fe: 0.0000 0.0000 0.0000
P: 0.7500 0.7500 0.7500
W: 0.3740 0.3740 0.3740
W: 0.3740 0.3740 0.8779
W: 0.3740 0.8779 0.3740
W: 0.8779 0.3740 0.3740

Properties
DFT formation energy = 936 meV per atom
V = 16.970 A^3/atom
mass density = 13.408 g/cm3